# Be2Ir2Os | the Alexandria database | PBE-GGA | optimized geometry
data_Be2Ir2Os
_cell_length_a 6.774
_cell_length_b 6.774
_cell_length_c 2.718
_cell_angle_alpha 90.00
_cell_angle_beta 90.00
_cell_angle_gamma 90.00
_space_group_name_H-M_alt 'P 4/m b m'
_space_group_IT_number 127
_space_group_name_Hall '-P 4 2ab'
loop_
_atom_site_label
_atom_site_type_symbol
_atom_site_fract_x
_atom_site_fract_y
_atom_site_fract_z
_atom_site_occupancy
Be1 Be 0.163 0.337 0.000 1
Ir1 Ir 0.136 0.636 0.500 1
Os1 Os 0.000 0.000 0.500 1
# * formation energy from the elements: 5.7 kJ/mol of atoms
# * offset from the most stable computed form: 311 meV per atom
# * DOS(E_F): 5.48 states/eV/f.u.